# 1
This record from Alexandria via LeMat-Bulk describes a relaxed CaLa2ReRh crystal. The functional is GGA-PBE.

Unit cell a=5.573 b=5.573 c=4.480 alpha=90.00 beta=90.00 gamma=90.00
Sites, in units of the cell vectors:
1 Ca 0.000 0.000 0.000
2 La 0.000 0.500 0.000
3 La 0.500 0.000 0.000
4 Re 0.500 0.500 0.500
5 Rh 0.000 0.000 0.500

Output
- VASP energy: -4.76 eV/atom
- Relative energy among the computed polymorphs: 1.236 eV/atom
- Formation energy from the elements: 7.9 eV per formula unit
- Calculated volume: 139.14 Å³ per cell
- D(E_F): 1.269 states/eV per atom
- Crystal system: tetragonal
- Total magnetization: 0.00 μB per cell
- Space group: P4/mmm, No. 123


# 2
This record from Alexandria via LeMat-Bulk describes a relaxed Th5Tl2Hg crystal. The functional is GGA-PBE.

Unit cell a=5.667 b=5.667 c=14.871 alpha=90.00 beta=90.00 gamma=90.00
Sites, in units of the cell vectors:
1 Th 0.000 0.000 0.000
2 Th 0.000 0.500 0.125
3 Th 0.000 0.500 0.375
4 Th 0.000 0.500 0.625
5 Th 0.000 0.500 0.875
6 Th 0.500 0.000 0.125
7 Th 0.500 0.000 0.375
8 Th 0.500 0.000 0.625
9 Th 0.500 0.000 0.875
10 Th 0.500 0.500 0.500
11 Tl 0.000 0.000 0.247
12 Tl 0.000 0.000 0.753
13 Tl 0.500 0.500 0.253
14 Tl 0.500 0.500 0.747
15 Hg 0.000 0.000 0.500
16 Hg 0.500 0.500 0.000

Output
- VASP energy: -5.31 eV/atom
- Relative energy among the computed polymorphs: 0.000 eV/atom
- Formation energy from the elements: -0.3 eV per formula unit
- Calculated volume: 477.54 Å³ per cell
- D(E_F): 1.330 states/eV per atom
- Crystal system: tetragonal
- Total magnetization: 0.00 μB per cell
- Space group: I4/mmm, No. 139


# 3
This record from Alexandria via LeMat-Bulk describes a relaxed BaPuPb2 crystal. The functional is GGA-PBE.

Unit cell a=3.665 b=3.665 c=9.743 alpha=90.00 beta=90.00 gamma=90.00
Sites, in units of the cell vectors:
1 Ba 0.000 0.000 0.000
2 Pu 0.000 0.000 0.500
3 Pb 0.500 0.500 0.271
4 Pb 0.500 0.500 0.729

Output
- VASP energy: -6.21 eV/atom
- Formation energy from the elements: -1.2 eV per formula unit
- Calculated volume: 130.89 Å³ per cell
- D(E_F): 2.303 states/eV per atom
- Crystal system: tetragonal
- Total magnetization: 5.76 μB per cell
- Space group: P4/mmm, No. 123


# 4
This record from Alexandria via LeMat-Bulk describes a relaxed Ti2MoPdW crystal. The functional is GGA-PBE.

Unit cell a=4.510 b=4.510 c=4.921 alpha=90.00 beta=90.00 gamma=90.00
Sites, in units of the cell vectors:
1 Ti 0.000 0.500 0.000
2 Ti 0.500 0.000 0.000
3 Mo 0.000 0.000 0.500
4 Pd 0.500 0.500 0.000
5 W 0.500 0.500 0.500

Output
- VASP energy: -7.56 eV/atom
- Formation energy from the elements: 7.0 eV per formula unit
- Calculated volume: 100.06 Å³ per cell
- D(E_F): 1.439 states/eV per atom
- Crystal system: tetragonal
- Total magnetization: 0.00 μB per cell
- Space group: P4/mmm, No. 123


# 5
This record from Alexandria via LeMat-Bulk describes a relaxed KYBe2 crystal. The functional is GGA-PBE.

Unit cell a=6.800 b=6.800 c=6.800 alpha=90.00 beta=90.00 gamma=90.00
Sites, in units of the cell vectors:
1 K 0.000 0.000 0.000
2 K 0.000 0.500 0.500
3 K 0.500 0.000 0.500
4 K 0.500 0.500 0.000
5 Y 0.250 0.250 0.750
6 Y 0.250 0.750 0.250
7 Y 0.750 0.250 0.250
8 Y 0.750 0.750 0.750
9 Be 0.000 0.000 0.500
10 Be 0.000 0.500 0.000
11 Be 0.250 0.250 0.250
12 Be 0.250 0.750 0.750
13 Be 0.500 0.000 0.000
14 Be 0.500 0.500 0.500
15 Be 0.750 0.250 0.750
16 Be 0.750 0.750 0.250

Output
- VASP energy: -2.90 eV/atom
- Relative energy among the computed polymorphs: 0.481 eV/atom
- Formation energy from the elements: 3.4 eV per formula unit
- Calculated volume: 314.37 Å³ per cell
- D(E_F): 0.217 states/eV per atom
- Crystal system: cubic
- Total magnetization: 0.00 μB per cell
- Space group: F-43m, No. 216


# 6
This record from Alexandria via LeMat-Bulk describes a relaxed TmScTl3 crystal. The functional is GGA-PBE.

Unit cell a=4.495 b=4.495 c=14.184 alpha=90.00 beta=90.00 gamma=90.00
Sites, in units of the cell vectors:
1 Tm 0.000 0.000 0.000
2 Tm 0.500 0.500 0.500
3 Sc 0.000 0.000 0.660
4 Sc 0.500 0.500 0.160
5 Tl 0.000 0.000 0.463
6 Tl 0.000 0.500 0.298
7 Tl 0.000 0.500 0.798
8 Tl 0.500 0.000 0.298
9 Tl 0.500 0.000 0.798
10 Tl 0.500 0.500 0.963

Output
- VASP energy: -3.54 eV/atom
- Relative energy among the computed polymorphs: 0.230 eV/atom
- Formation energy from the elements: 0.2 eV per formula unit
- Calculated volume: 286.65 Å³ per cell
- D(E_F): 0.737 states/eV per atom
- Crystal system: tetragonal
- Total magnetization: 0.00 μB per cell
- Space group: I4mm, No. 107